Entry 1:
The following is a GGA-PBE calculation of HoEr4Tm3S8 after structural relaxation, from Alexandria.

a = 7.7185 Å, b = 7.7185 Å, c = 7.7185 Å
α = 59.97°, β = 59.97°, γ = 59.97°
Positions (direct):
Ho 0.0000 0.0000 0.0000
Er 0.0000 0.0000 0.5000
Er 0.0000 0.5000 0.0000
Er 0.5000 0.0000 0.0000
Er 0.5000 0.5000 0.5000
Tm 0.0000 0.5000 0.5000
Tm 0.5000 0.0000 0.5000
Tm 0.5000 0.5000 0.0000
S 0.2508 0.2508 0.2508
S 0.2507 0.2507 0.7478
S 0.2507 0.7478 0.2507
S 0.2522 0.7493 0.7493
S 0.7478 0.2507 0.2507
S 0.7493 0.2522 0.7493
S 0.7493 0.7493 0.2522
S 0.7492 0.7492 0.7492

Volume ... 20.31 Å³ per atom
Space-group type ... No. 166
Formation energy without anion corrections ... -1.9427 eV per atom
Total magnetization ... 0.00 μB per cell

Entry 2:
The following is a GGA-PBE calculation of Ho3ErTm2S6 after structural relaxation, from Alexandria.

a = 6.6991 Å, b = 6.6991 Å, c = 6.7008 Å
α = 99.55°, β = 99.55°, γ = 120.24°
Positions (direct):
Ho 0.0000 0.0000 0.0000
Ho 0.3340 0.6660 0.0000
Ho 0.6660 0.3340 0.0000
Er 0.5000 0.5000 0.5000
Tm 0.1665 0.8335 0.5000
Tm 0.8335 0.1665 0.5000
S 0.0831 0.4178 0.2532
S 0.2474 0.2474 0.7463
S 0.4178 0.0831 0.2532
S 0.5822 0.9169 0.7468
S 0.7526 0.7526 0.2537
S 0.9169 0.5822 0.7468

Volume ... 20.41 Å³ per atom
Space-group type ... No. 12
Formation energy without anion corrections ... -1.9593 eV per atom
Total magnetization ... 0.00 μB per cell

Entry 3:
The following is a GGA-PBE calculation of HoEr2TmS4 after structural relaxation, from Alexandria.

a = 6.7079 Å, b = 3.8298 Å, c = 6.7139 Å
α = 90.00°, β = 109.07°, γ = 90.00°
Positions (direct):
Ho 0.0000 0.0000 0.0000
Er 0.0000 0.5000 0.5000
Er 0.5000 0.0000 0.5000
Tm 0.5000 0.5000 0.0000
S 0.2521 0.0000 0.7508
S 0.2521 0.5000 0.2505
S 0.7479 0.0000 0.2492
S 0.7479 0.5000 0.7495

Volume ... 20.38 Å³ per atom
Space-group type ... No. 10
Formation energy without anion corrections ... -1.9501 eV per atom
Total magnetization ... 0.00 μB per cell